CoPdRuRh2 | Alexandria | PBE-GGA | optimized geometry; calculated total energy = -29.8 eV/f.u.; symmetry = No. 123; magnetic moment = 6.084 μB/cell; formation energy = 1.2934 eV per atom
1.0
4.4155 0.0000 0.0000
0.0000 4.4875 0.0000
0.0000 0.0000 4.4155
Ru Rh Pd Co
1 2 1 1
direct
0.5000 0.5000 0.5000 Ru
0.0000 0.0000 0.5000 Rh
0.5000 0.0000 0.0000 Rh
0.0000 0.5000 0.0000 Pd
0.0000 0.0000 0.0000 Co